Density functional theory data (PBE) for crystalline NbCdCuSb2 at its relaxed geometry.

Structure (extended XYZ):
```
5
Lattice="4.9714 0.0000 0.0000 0.0000 5.0372 0.0000 0.0000 0.0000 4.9714" Properties=species:S:1:pos:R:3 pbc="T T T"
Sb 0.0000 0.0000 2.4857
Sb 2.4857 0.0000 0.0000
Cd 2.4857 2.5186 2.4857
Nb 0.0000 2.5186 0.0000
Cu 0.0000 0.0000 0.0000
```

Values from the calculation:
**Magnetic moment**: 2.0 μB per cell
**Space-group type**: P4/mmm
**ΔE_f (raw)**: 363 kJ/mol of formula units